[1]
Computed, not measured: a PBEsol-optimized structure of RhCl3F at the SCAN level of DFT.

Cell: 4.501 4.501 4.501 Å, 90.00 90.00 90.00°
Fractional positions:
Rh: 0.000 0.000 0.000
Cl: 0.000 0.500 0.500
Cl: 0.500 0.000 0.500
Cl: 0.500 0.500 0.000
F: 0.500 0.500 0.500

Results
As for the space group: No. 221. The raw formation energy is 71.9 kJ per mole of atoms.


[2]
Computed, not measured: a PBEsol-optimized structure of TcRu2Pt at the SCAN level of DFT.

Cell: 6.109 6.109 6.109 Å, 90.00 90.00 90.00°
Fractional positions:
Tc: 0.000 0.000 0.000
Tc: 0.000 0.500 0.500
Tc: 0.500 0.000 0.500
Tc: 0.500 0.500 0.000
Ru: 0.000 0.000 0.500
Ru: 0.000 0.500 0.000
Ru: 0.250 0.250 0.250
Ru: 0.250 0.750 0.750
Ru: 0.500 0.000 0.000
Ru: 0.500 0.500 0.500
Ru: 0.750 0.250 0.750
Ru: 0.750 0.750 0.250
Pt: 0.250 0.250 0.750
Pt: 0.250 0.750 0.250
Pt: 0.750 0.250 0.250
Pt: 0.750 0.750 0.750

Results
As for the energy above the most stable polymorph in this dataset: 458 meV per atom. As for the space group: No. 216.


[3]
Computed, not measured: a PBEsol-optimized structure of TiSbPd2 at the SCAN level of DFT.

Cell: 3.947 3.947 18.185 Å, 90.00 90.00 90.00°
Fractional positions:
Ti: 0.000 0.000 0.000
Ti: 0.000 0.500 0.250
Ti: 0.500 0.000 0.750
Ti: 0.500 0.500 0.500
Sb: 0.000 0.000 0.500
Sb: 0.000 0.500 0.750
Sb: 0.500 0.000 0.250
Sb: 0.500 0.500 0.000
Pd: 0.246 0.250 0.125
Pd: 0.250 0.746 0.375
Pd: 0.250 0.754 0.875
Pd: 0.254 0.250 0.625
Pd: 0.746 0.750 0.625
Pd: 0.750 0.246 0.875
Pd: 0.750 0.254 0.375
Pd: 0.754 0.750 0.125

Results
As for the space group: No. 122. The raw formation energy is -34.4 kJ per mole of atoms.